No. 1
# ZrNbIn PBE optimized geometry
data_ZrNbIn
_chemical_formula_sum 'Zr1 Nb1 In1'
_cell_length_a 4.7445
_cell_length_b 4.7445
_cell_length_c 4.7445
_cell_angle_alpha 60.00
_cell_angle_beta 60.00
_cell_angle_gamma 60.00
_space_group_name_H-M_alt 'P 1'
_space_group_IT_number 1
_space_group_name_Hall 'P 1'
loop_
_atom_site_label
_atom_site_fract_x
_atom_site_fract_y
_atom_site_fract_z
Zr1 0.7500 0.7500 0.7500
In1 0.0000 0.0000 0.0000
Nb1 0.2500 0.2500 0.2500
# Magnetization = 0.00 μB per formula unit
# VASP energy = -6.5825 eV per atom
# Crystal system = cubic
# Symmetry = F-43m, No. 216



No. 2
# Nd3In PBE optimized geometry
data_Nd3In
_chemical_formula_sum 'Nd3 In1'
_cell_length_a 4.9828
_cell_length_b 4.9833
_cell_length_c 4.9824
_cell_angle_alpha 90.00
_cell_angle_beta 90.00
_cell_angle_gamma 90.00
_space_group_name_H-M_alt 'P 1'
_space_group_IT_number 1
_space_group_name_Hall 'P 1'
loop_
_atom_site_label
_atom_site_fract_x
_atom_site_fract_y
_atom_site_fract_z
Nd1 0.5000 0.0000 0.9169
Nd2 0.5000 0.5000 0.4168
Nd3 0.0000 0.5000 0.9165
In1 0.0000 0.0000 0.4164
# Magnetization = 0.07 μB per formula unit
# VASP energy = -4.5383 eV per atom
# Crystal system = cubic
# Symmetry = Pm-3m, No. 221



No. 3
# NdIn PBE optimized geometry
data_NdIn
_chemical_formula_sum 'Nd1 In1'
_cell_length_a 3.8641
_cell_length_b 3.8641
_cell_length_c 3.8641
_cell_angle_alpha 90.00
_cell_angle_beta 90.00
_cell_angle_gamma 90.00
_space_group_name_H-M_alt 'P 1'
_space_group_IT_number 1
_space_group_name_Hall 'P 1'
loop_
_atom_site_label
_atom_site_fract_x
_atom_site_fract_y
_atom_site_fract_z
In1 0.0000 0.0000 0.0000
Nd1 0.5000 0.5000 0.5000
# Magnetization = 0.00 μB per formula unit
# VASP energy = -4.2462 eV per atom
# Crystal system = cubic
# Symmetry = Pm-3m, No. 221



No. 4
# Nd3In5 PBE optimized geometry
data_Nd3In5
_chemical_formula_sum 'Nd6 In10'
_cell_length_a 6.5514
_cell_length_b 6.5514
_cell_length_c 10.5337
_cell_angle_alpha 90.00
_cell_angle_beta 90.00
_cell_angle_gamma 78.17
_space_group_name_H-M_alt 'P 1'
_space_group_IT_number 1
_space_group_name_Hall 'P 1'
loop_
_atom_site_label
_atom_site_fract_x
_atom_site_fract_y
_atom_site_fract_z
In1 0.8086 0.1914 0.9516
In2 0.5768 0.9965 0.7500
In3 0.1914 0.8086 0.0484
In4 0.1914 0.8086 0.4516
In5 0.9965 0.5768 0.2500
In6 0.8086 0.1914 0.5484
In7 0.4232 0.0035 0.2500
In8 0.5109 0.4891 0.7500
In9 0.0035 0.4232 0.7500
In10 0.4891 0.5109 0.2500
Nd1 0.8725 0.1275 0.2500
Nd2 0.7033 0.7033 0.0000
Nd3 0.2967 0.2967 0.0000
Nd4 0.7033 0.7033 0.5000
Nd5 0.1275 0.8725 0.7500
Nd6 0.2967 0.2967 0.5000
# Magnetization = 0.01 μB per formula unit
# VASP energy = -4.0185 eV per atom
# Crystal system = orthorhombic
# Symmetry = Cmcm, No. 63



No. 5
# NdIn PBE optimized geometry
data_NdIn
_chemical_formula_sum 'Nd1 In1'
_cell_length_a 5.0117
_cell_length_b 5.0117
_cell_length_c 5.0117
_cell_angle_alpha 60.00
_cell_angle_beta 60.00
_cell_angle_gamma 60.00
_space_group_name_H-M_alt 'P 1'
_space_group_IT_number 1
_space_group_name_Hall 'P 1'
loop_
_atom_site_label
_atom_site_fract_x
_atom_site_fract_y
_atom_site_fract_z
Nd1 0.2500 0.2500 0.2500
In1 0.0000 0.0000 0.0000
# Magnetization = 0.02 μB per formula unit
# VASP energy = -3.1540 eV per atom
# Crystal system = cubic
# Symmetry = F-43m, No. 216



No. 6
# NdIn2 PBE optimized geometry
data_NdIn2
_chemical_formula_sum 'Nd2 In4'
_cell_length_a 6.0700
_cell_length_b 6.0700
_cell_length_c 6.0700
_cell_angle_alpha 60.00
_cell_angle_beta 60.00
_cell_angle_gamma 60.00
_space_group_name_H-M_alt 'P 1'
_space_group_IT_number 1
_space_group_name_Hall 'P 1'
loop_
_atom_site_label
_atom_site_fract_x
_atom_site_fract_y
_atom_site_fract_z
In1 0.6250 0.6250 0.6250
In2 0.6250 0.1250 0.6250
In3 0.1250 0.6250 0.6250
In4 0.6250 0.6250 0.1250
Nd1 0.0000 0.0000 0.0000
Nd2 0.2500 0.2500 0.2500
# Magnetization = 0.00 μB per formula unit
# VASP energy = -3.8496 eV per atom
# Crystal system = cubic
# Symmetry = Fd-3m, No. 227



No. 7
# NdIn PBE optimized geometry
data_NdIn
_chemical_formula_sum 'Nd1 In1'
_cell_length_a 4.5452
_cell_length_b 4.5452
_cell_length_c 4.5452
_cell_angle_alpha 60.00
_cell_angle_beta 60.00
_cell_angle_gamma 60.00
_space_group_name_H-M_alt 'P 1'
_space_group_IT_number 1
_space_group_name_Hall 'P 1'
loop_
_atom_site_label
_atom_site_fract_x
_atom_site_fract_y
_atom_site_fract_z
In1 0.0000 0.0000 0.0000
Nd1 0.5000 0.5000 0.5000
# Magnetization = 0.32 μB per formula unit
# VASP energy = -3.8842 eV per atom
# Crystal system = cubic
# Symmetry = Fm-3m, No. 225



No. 8
# NdIn PBE optimized geometry
data_NdIn
_chemical_formula_sum 'Nd1 In1'
_cell_length_a 3.5731
_cell_length_b 3.5730
_cell_length_c 5.3879
_cell_angle_alpha 90.00
_cell_angle_beta 90.00
_cell_angle_gamma 120.00
_space_group_name_H-M_alt 'P 1'
_space_group_IT_number 1
_space_group_name_Hall 'P 1'
loop_
_atom_site_label
_atom_site_fract_x
_atom_site_fract_y
_atom_site_fract_z
In1 0.6667 0.3334 0.7500
Nd1 0.3333 0.6666 0.2500
# Magnetization = 0.01 μB per formula unit
# VASP energy = -4.0187 eV per atom
# Crystal system = hexagonal
# Symmetry = P-6m2, No. 187



No. 9
# NdIn6Ni4 PBE optimized geometry
data_NdIn6Ni4
_chemical_formula_sum 'Nd1 In6 Ni4'
_cell_length_a 6.7599
_cell_length_b 6.7599
_cell_length_c 6.7599
_cell_angle_alpha 120.26
_cell_angle_beta 120.26
_cell_angle_gamma 89.56
_space_group_name_H-M_alt 'P 1'
_space_group_IT_number 1
_space_group_name_Hall 'P 1'
loop_
_atom_site_label
_atom_site_fract_x
_atom_site_fract_y
_atom_site_fract_z
Ni1 0.5933 0.2672 0.0000
Ni2 0.4067 0.4067 0.6739
Ni3 0.2672 0.5933 0.0000
Ni4 0.7328 0.7328 0.3261
In1 0.5000 0.0000 0.5000
In2 0.4722 0.4722 0.3637
In3 0.0000 0.5000 0.5000
In4 0.1084 0.1084 0.6363
In5 0.8916 0.5278 0.0000
In6 0.5278 0.8916 0.0000
Nd1 0.0000 0.0000 0.0000
# Magnetization = 0.00 μB per formula unit
# VASP energy = -4.2457 eV per atom
# Crystal system = tetragonal
# Symmetry = I-42m, No. 121



No. 10
# NdIn2Ni PBE optimized geometry
data_NdIn2Ni
_chemical_formula_sum 'Nd2 In4 Ni2'
_cell_length_a 5.8039
_cell_length_b 5.8039
_cell_length_c 7.4879
_cell_angle_alpha 90.00
_cell_angle_beta 90.00
_cell_angle_gamma 135.34
_space_group_name_H-M_alt 'P 1'
_space_group_IT_number 1
_space_group_name_Hall 'P 1'
loop_
_atom_site_label
_atom_site_fract_x
_atom_site_fract_y
_atom_site_fract_z
In1 0.1461 0.8539 0.4491
In2 0.1461 0.8539 0.0509
In3 0.8539 0.1461 0.5509
In4 0.8539 0.1461 0.9491
Nd1 0.5665 0.4335 0.7500
Nd2 0.4335 0.5665 0.2500
Ni1 0.7158 0.2842 0.2500
Ni2 0.2842 0.7158 0.7500
# Magnetization = 0.00 μB per formula unit
# VASP energy = -4.3877 eV per atom
# Crystal system = orthorhombic
# Symmetry = Cmcm, No. 63



No. 11
# NdIn2Ni9 PBE optimized geometry
data_NdIn2Ni9
_chemical_formula_sum 'Nd2 In4 Ni18'
_cell_length_a 8.2623
_cell_length_b 8.2623
_cell_length_c 4.8440
_cell_angle_alpha 90.00
_cell_angle_beta 90.00
_cell_angle_gamma 90.00
_space_group_name_H-M_alt 'P 1'
_space_group_IT_number 1
_space_group_name_Hall 'P 1'
loop_
_atom_site_label
_atom_site_fract_x
_atom_site_fract_y
_atom_site_fract_z
Ni1 0.0652 0.7912 0.5000
Ni2 0.2088 0.0652 0.5000
Ni3 0.3236 0.8236 0.2496
Ni4 0.3236 0.8236 0.7504
Ni5 0.5652 0.7088 0.5000
Ni6 0.1764 0.3236 0.2496
Ni7 0.2912 0.5652 0.5000
Ni8 0.8236 0.6764 0.2496
Ni9 0.5000 0.0000 0.5000
Ni10 0.7088 0.4348 0.5000
Ni11 0.6764 0.1764 0.2496
Ni12 0.4348 0.2912 0.5000
Ni13 0.6764 0.1764 0.7504
Ni14 0.0000 0.5000 0.5000
Ni15 0.1764 0.3236 0.7504
Ni16 0.7912 0.9348 0.5000
Ni17 0.8236 0.6764 0.7504
Ni18 0.9348 0.2088 0.5000
In1 0.3759 0.1241 0.0000
In2 0.8759 0.3759 0.0000
In3 0.1241 0.6241 0.0000
In4 0.6241 0.8759 0.0000
Nd1 0.5000 0.5000 0.0000
Nd2 0.0000 0.0000 0.0000
# Magnetization = 0.08 μB per formula unit
# VASP energy = -5.2450 eV per atom
# Crystal system = tetragonal
# Symmetry = P4/mbm, No. 127



No. 12
# Nd4In8Ni7 PBE optimized geometry
data_Nd4In8Ni7
_chemical_formula_sum 'Nd8 In16 Ni14'
_cell_length_a 14.1229
_cell_length_b 14.1229
_cell_length_c 4.3628
_cell_angle_alpha 90.00
_cell_angle_beta 90.00
_cell_angle_gamma 117.35
_space_group_name_H-M_alt 'P 1'
_space_group_IT_number 1
_space_group_name_Hall 'P 1'
loop_
_atom_site_label
_atom_site_fract_x
_atom_site_fract_y
_atom_site_fract_z
In1 0.5865 0.4135 0.0000
In2 0.6245 0.0575 0.5000
In3 0.4135 0.5865 0.0000
In4 0.7777 0.2223 0.0000
In5 0.0000 0.0000 0.0000
In6 0.3191 0.1312 0.5000
In7 0.2223 0.7777 0.0000
In8 0.1312 0.3191 0.5000
In9 0.3106 0.6894 0.5000
In10 0.6894 0.3106 0.5000
In11 0.5000 0.5000 0.5000
In12 0.3755 0.9425 0.5000
In13 0.6809 0.8688 0.5000
In14 0.0575 0.6245 0.5000
In15 0.8688 0.6809 0.5000
In16 0.9425 0.3755 0.5000
Nd1 0.1520 0.5047 0.0000
Nd2 0.8480 0.4953 0.0000
Nd3 0.6840 0.6840 0.0000
Nd4 0.1055 0.8945 0.5000
Nd5 0.8945 0.1055 0.5000
Nd6 0.4953 0.8480 0.0000
Nd7 0.3160 0.3160 0.0000
Nd8 0.5047 0.1520 0.0000
Ni1 0.8778 0.8778 0.5000
Ni2 0.9097 0.8011 0.0000
Ni3 0.0155 0.7082 0.0000
Ni4 0.2918 0.9845 0.0000
Ni5 0.0903 0.1989 0.0000
Ni6 0.1989 0.0903 0.0000
Ni7 0.7082 0.0155 0.0000
Ni8 0.3084 0.4984 0.5000
Ni9 0.5016 0.6916 0.5000
Ni10 0.4984 0.3084 0.5000
Ni11 0.8011 0.9097 0.0000
Ni12 0.9845 0.2918 0.0000
Ni13 0.1222 0.1222 0.5000
Ni14 0.6916 0.5016 0.5000
# Magnetization = 0.00 μB per formula unit
# VASP energy = -4.6010 eV per atom
# Crystal system = orthorhombic
# Symmetry = Cmmm, No. 65



No. 13
# NdIn2Ni PBE optimized geometry
data_NdIn2Ni
_chemical_formula_sum 'Nd2 In4 Ni2'
_cell_length_a 9.6971
_cell_length_b 9.6971
_cell_length_c 4.3629
_cell_angle_alpha 90.00
_cell_angle_beta 90.00
_cell_angle_gamma 153.12
_space_group_name_H-M_alt 'P 1'
_space_group_IT_number 1
_space_group_name_Hall 'P 1'
loop_
_atom_site_label
_atom_site_fract_x
_atom_site_fract_y
_atom_site_fract_z
In1 0.5000 0.5000 0.0000
In2 0.7058 0.2942 0.5000
In3 0.2942 0.7058 0.5000
In4 0.0000 0.0000 0.5000
Nd1 0.8604 0.1396 0.0000
Nd2 0.1396 0.8604 0.0000
Ni1 0.5731 0.4269 0.5000
Ni2 0.4269 0.5731 0.5000
# Magnetization = 0.00 μB per formula unit
# VASP energy = -4.3476 eV per atom
# Crystal system = orthorhombic
# Symmetry = Cmmm, No. 65



No. 14
# NdIn5NiPd PBE optimized geometry
data_NdIn5NiPd
_chemical_formula_sum 'Nd1 In5 Ni1 Pd1'
_cell_length_a 6.9444
_cell_length_b 6.9444
_cell_length_c 6.9444
_cell_angle_alpha 143.96
_cell_angle_beta 109.85
_cell_angle_gamma 81.48
_space_group_name_H-M_alt 'P 1'
_space_group_IT_number 1
_space_group_name_Hall 'P 1'
loop_
_atom_site_label
_atom_site_fract_x
_atom_site_fract_y
_atom_site_fract_z
In1 0.8444 0.6537 0.1907
In2 0.5521 0.3486 0.2035
In3 0.1452 0.3486 0.7966
In4 0.4630 0.6537 0.8093
In5 0.5040 0.0040 0.5000
Nd1 0.9933 0.9933 0.0000
Pd1 0.2498 0.7498 0.5000
Ni1 0.7483 0.2483 0.5000
# Magnetization = 0.00 μB per formula unit
# VASP energy = -3.9921 eV per atom
# Crystal system = orthorhombic
# Symmetry = Imm2, No. 44



No. 15
# Nd3In3Ni2Pd PBE optimized geometry
data_Nd3In3Ni2Pd
_chemical_formula_sum 'Nd3 In3 Ni2 Pd1'
_cell_length_a 7.5872
_cell_length_b 7.5872
_cell_length_c 4.0414
_cell_angle_alpha 90.00
_cell_angle_beta 90.00
_cell_angle_gamma 120.00
_space_group_name_H-M_alt 'P 1'
_space_group_IT_number 1
_space_group_name_Hall 'P 1'
loop_
_atom_site_label
_atom_site_fract_x
_atom_site_fract_y
_atom_site_fract_z
Ni1 0.6667 0.3333 0.5000
Ni2 0.3333 0.6667 0.5000
Pd1 0.0000 0.0000 0.0000
Nd1 0.4156 0.4156 0.0000
Nd2 0.5844 0.0000 0.0000
Nd3 0.0000 0.5844 0.0000
In1 0.2559 0.0000 0.5000
In2 0.7441 0.7441 0.5000
In3 0.0000 0.2559 0.5000
# Magnetization = 0.05 μB per formula unit
# VASP energy = -4.8722 eV per atom
# Crystal system = hexagonal
# Symmetry = P-62m, No. 189



No. 16
# PrNd2In3Ni3 PBE optimized geometry
data_PrNd2In3Ni3
_chemical_formula_sum 'Pr1 Nd2 In3 Ni3'
_cell_length_a 3.9497
_cell_length_b 7.5781
_cell_length_c 7.5781
_cell_angle_alpha 119.99
_cell_angle_beta 90.00
_cell_angle_gamma 90.00
_space_group_name_H-M_alt 'P 1'
_space_group_IT_number 1
_space_group_name_Hall 'P 1'
loop_
_atom_site_label
_atom_site_fract_x
_atom_site_fract_y
_atom_site_fract_z
In1 0.5000 0.7547 0.7547
In2 0.5000 0.9998 0.2454
In3 0.5000 0.2454 0.9998
Ni1 0.0000 0.0000 0.0000
Ni2 0.5000 0.3333 0.6668
Ni3 0.5000 0.6668 0.3333
Pr1 0.0000 0.4151 0.4151
Nd1 0.0000 0.0000 0.5850
Nd2 0.0000 0.5850 0.0000
# Magnetization = 0.02 μB per formula unit
# VASP energy = -4.8182 eV per atom
# Crystal system = orthorhombic
# Symmetry = Amm2, No. 38



No. 17
# Nd3In3Ni2Pt PBE optimized geometry
data_Nd3In3Ni2Pt
_chemical_formula_sum 'Nd3 In3 Ni2 Pt1'
_cell_length_a 7.5955
_cell_length_b 7.5955
_cell_length_c 4.0457
_cell_angle_alpha 90.00
_cell_angle_beta 90.00
_cell_angle_gamma 120.00
_space_group_name_H-M_alt 'P 1'
_space_group_IT_number 1
_space_group_name_Hall 'P 1'
loop_
_atom_site_label
_atom_site_fract_x
_atom_site_fract_y
_atom_site_fract_z
Ni1 0.6667 0.3333 0.0000
Ni2 0.3333 0.6667 0.0000
Pt1 0.0000 0.0000 0.5000
Nd1 0.0000 0.5880 0.5000
Nd2 0.5880 0.0000 0.5000
Nd3 0.4120 0.4120 0.5000
In1 0.0000 0.2582 0.0000
In2 0.2582 0.0000 0.0000
In3 0.7418 0.7418 0.0000
# Magnetization = 0.00 μB per formula unit
# VASP energy = -5.0108 eV per atom
# Crystal system = hexagonal
# Symmetry = P-62m, No. 189



No. 18
# Nd2In2Ni3Pt PBE optimized geometry
data_Nd2In2Ni3Pt
_chemical_formula_sum 'Nd2 In2 Ni3 Pt1'
_cell_length_a 4.5186
_cell_length_b 4.5186
_cell_length_c 8.9856
_cell_angle_alpha 90.00
_cell_angle_beta 90.00
_cell_angle_gamma 120.00
_space_group_name_H-M_alt 'P 1'
_space_group_IT_number 1
_space_group_name_Hall 'P 1'
loop_
_atom_site_label
_atom_site_fract_x
_atom_site_fract_y
_atom_site_fract_z
Ni1 0.0000 0.0000 0.9154
Ni2 0.0000 0.0000 0.5778
Ni3 0.3333 0.6667 0.4283
Nd1 0.3333 0.6667 0.7460
Nd2 0.0000 0.0000 0.2542
Pt1 0.3333 0.6667 0.0875
In1 0.6667 0.3333 0.5028
In2 0.6667 0.3333 0.9879
# Magnetization = 0.00 μB per formula unit
# VASP energy = -5.2134 eV per atom
# Crystal system = trigonal
# Symmetry = P3m1, No. 156



No. 19
# Nd3In3NiPt2 PBE optimized geometry
data_Nd3In3NiPt2
_chemical_formula_sum 'Nd3 In3 Ni1 Pt2'
_cell_length_a 7.7501
_cell_length_b 7.7501
_cell_length_c 3.9781
_cell_angle_alpha 90.00
_cell_angle_beta 90.00
_cell_angle_gamma 120.00
_space_group_name_H-M_alt 'P 1'
_space_group_IT_number 1
_space_group_name_Hall 'P 1'
loop_
_atom_site_label
_atom_site_fract_x
_atom_site_fract_y
_atom_site_fract_z
Pt1 0.3333 0.6667 0.5000
Pt2 0.6667 0.3333 0.5000
In1 0.2413 0.0000 0.5000
In2 0.0000 0.2413 0.5000
In3 0.7587 0.7587 0.5000
Nd1 0.4123 0.4123 0.0000
Nd2 0.5877 0.0000 0.0000
Nd3 0.0000 0.5877 0.0000
Ni1 0.0000 0.0000 0.0000
# Magnetization = 0.05 μB per formula unit
# VASP energy = -5.2814 eV per atom
# Crystal system = hexagonal
# Symmetry = P-62m, No. 189



No. 20
# Nd4InSi4Ni2 PBE optimized geometry
data_Nd4InSi4Ni2
_chemical_formula_sum 'Nd4 In1 Si4 Ni2'
_cell_length_a 8.1649
_cell_length_b 8.1649
_cell_length_c 7.1682
_cell_angle_alpha 107.93
_cell_angle_beta 107.93
_cell_angle_gamma 30.47
_space_group_name_H-M_alt 'P 1'
_space_group_IT_number 1
_space_group_name_Hall 'P 1'
loop_
_atom_site_label
_atom_site_fract_x
_atom_site_fract_y
_atom_site_fract_z
Si1 0.7888 0.7888 0.7089
Si2 0.2112 0.2112 0.2911
Si3 0.9355 0.9355 0.3426
Si4 0.0645 0.0645 0.6574
Nd1 0.6557 0.6557 0.9399
Nd2 0.3443 0.3443 0.0601
Nd3 0.5914 0.5914 0.3866
Nd4 0.4086 0.4086 0.6134
In1 0.0000 0.0000 0.0000
Ni1 0.2138 0.2138 0.6470
Ni2 0.7862 0.7862 0.3530
# Magnetization = 0.00 μB per formula unit
# VASP energy = -5.6851 eV per atom
# Crystal system = monoclinic
# Symmetry = C2/m, No. 12